Record 1
DFT (PBE-GGA) results for Cs3TaI8 after structural relaxation.

Output
Space group: P6_3mc (186)

Unit cell a=11.469 b=11.469 c=10.729 alpha=90.00 beta=90.00 gamma=120.00
Atoms (fractional coordinates):
Cs 0.151 0.302 0.000
Cs 0.151 0.849 0.000
Cs 0.302 0.151 0.500
Cs 0.698 0.849 0.000
Cs 0.849 0.151 0.500
Cs 0.849 0.698 0.500
Ta 0.333 0.667 0.451
Ta 0.667 0.333 0.951
I 0.000 0.000 0.255
I 0.000 0.000 0.755
I 0.105 0.553 0.307
I 0.220 0.440 0.607
I 0.220 0.780 0.607
I 0.333 0.667 0.956
I 0.440 0.220 0.107
I 0.447 0.553 0.307
I 0.447 0.895 0.307
I 0.553 0.105 0.807
I 0.553 0.447 0.807
I 0.560 0.780 0.607
I 0.667 0.333 0.456
I 0.780 0.220 0.107
I 0.780 0.560 0.107
I 0.895 0.447 0.807

=====

Record 2
DFT (PBE-GGA) results for CsTaI2 after structural relaxation.

Output
Space group: Fm-3m (225)
Relative energy among the computed polymorphs in eV/f.u.: 2.08

Unit cell a=5.662 b=5.662 c=5.662 alpha=60.00 beta=60.00 gamma=60.00
Atoms (fractional coordinates):
Cs 0.000 0.000 0.000
Ta 0.500 0.500 0.500
I 0.250 0.250 0.250
I 0.750 0.750 0.750

=====

Record 3
DFT (PBE-GGA) results for Cs2TaI7 after structural relaxation.

Output
Space group: C2/c (15)
Relative energy among the computed polymorphs in eV/f.u.: 0.00

Unit cell a=10.874 b=10.874 c=14.066 alpha=125.15 beta=125.15 gamma=50.13
Atoms (fractional coordinates):
Cs 0.033 0.698 0.955
Cs 0.302 0.967 0.545
Cs 0.698 0.033 0.455
Cs 0.967 0.302 0.045
Ta 0.279 0.721 0.750
Ta 0.721 0.279 0.250
I 0.078 0.108 0.259
I 0.108 0.078 0.759
I 0.197 0.634 0.503
I 0.207 0.458 0.686
I 0.366 0.803 0.997
I 0.404 0.596 0.250
I 0.458 0.207 0.186
I 0.542 0.793 0.814
I 0.596 0.404 0.750
I 0.634 0.197 0.003
I 0.793 0.542 0.314
I 0.803 0.366 0.497
I 0.892 0.922 0.241
I 0.922 0.892 0.741

=====

Which formation energy from raw total energies belongs to each record? In order, -0.9698 0.7916 -0.7701 eV/atom.
Which size of the total moment belongs to each record? In order, 0.000 0.118 0.082 μB per formula unit.